1.
Crystalline AgSeBr at its relaxed geometry, computed with GGA-PBE.

```
data_AgSeBr
_chemical_formula_sum 'Ag4 Se4 Br4'
_cell_length_a 6.832
_cell_length_b 6.832
_cell_length_c 6.832
_cell_angle_alpha 90.00
_cell_angle_beta 90.00
_cell_angle_gamma 90.00
_symmetry_space_group_name_H-M 'F -4 3 m'
_symmetry_Int_Tables_number 216
_symmetry_space_group_name_Hall 'F -4 2 3'
loop_
_atom_site_label
_atom_site_fract_x
_atom_site_fract_y
_atom_site_fract_z
Ag1 0.000 0.000 0.000
Se1 0.250 0.250 0.750
Br1 0.000 0.000 0.500
```

## Properties
For the energy relative to the lowest polymorph listed for this composition, the calculation gives 0.6503 eV per atom.


2.
Crystalline Ag7Se3Br at its relaxed geometry, computed with GGA-PBE.

```
data_Ag7Se3Br
_chemical_formula_sum 'Ag14 Se6 Br2'
_cell_length_a 8.903
_cell_length_b 9.045
_cell_length_c 7.948
_cell_angle_alpha 90.00
_cell_angle_beta 123.18
_cell_angle_gamma 90.00
_symmetry_space_group_name_H-M 'C 1 m 1'
_symmetry_Int_Tables_number 8
loop_
_symmetry_equiv_pos_as_xyz
'x,y,z'
'x,-y,z'
'x+1/2,y+1/2,z'
'x+1/2,-y+1/2,z'
loop_
_atom_site_label
_atom_site_fract_x
_atom_site_fract_y
_atom_site_fract_z
Ag1 0.000 0.000 0.000
Ag2 0.017 0.176 0.703
Ag3 0.184 0.500 0.519
Ag4 0.324 0.173 0.270
Ag5 0.438 0.000 0.692
Se1 0.187 0.218 0.489
Se2 0.280 0.000 0.974
Br1 0.243 0.500 0.057
```


3.
Crystalline AgSe2Br at its relaxed geometry, computed with GGA-PBE.

```
data_AgSe2Br
_chemical_formula_sum 'Ag3 Se6 Br3'
_cell_length_a 3.8115
_cell_length_b 3.8115
_cell_length_c 24.2594
_cell_angle_alpha 90.00
_cell_angle_beta 90.00
_cell_angle_gamma 120.00
_symmetry_space_group_name_H-M 'R 3 m'
_symmetry_Int_Tables_number 160
_symmetry_space_group_name_Hall 'R 3 -2"'
loop_
_atom_site_label
_atom_site_fract_x
_atom_site_fract_y
_atom_site_fract_z
Ag1 0.0000 0.0000 0.0000
Se1 0.0000 0.0000 0.2642
Se2 0.0000 0.0000 0.5319
Br1 0.0000 0.0000 0.7334
```

## Properties
For the energy relative to the lowest polymorph listed for this composition, the calculation gives 0.2179 eV per atom.


4.
Crystalline Ag2SeBr at its relaxed geometry, computed with GGA-PBE.

```
data_Ag2SeBr
_chemical_formula_sum 'Ag4 Se2 Br2'
_cell_length_a 5.438
_cell_length_b 5.257
_cell_length_c 6.840
_cell_angle_alpha 90.00
_cell_angle_beta 90.00
_cell_angle_gamma 90.00
_symmetry_space_group_name_H-M 'A m m 2'
_symmetry_Int_Tables_number 38
loop_
_symmetry_equiv_pos_as_xyz
'x,y,z'
'-x,-y,z'
'-x,y,z'
'x,-y,z'
'x,y+1/2,z+1/2'
'-x,-y+1/2,z+1/2'
'-x,y+1/2,z+1/2'
'x,-y+1/2,z+1/2'
loop_
_atom_site_label
_atom_site_fract_x
_atom_site_fract_y
_atom_site_fract_z
Ag1 0.000 0.000 0.000
Ag2 0.500 0.000 0.383
Se1 0.500 0.000 0.999
Br1 0.000 0.000 0.569
```

## Properties
For the energy relative to the lowest polymorph listed for this composition, the calculation gives 0.0557 eV per atom.


E_tot, record by record: -6.50; -33.13; -11.12; -11.21 eV per formula unit
Energy relative to the elements, uncorrected, record by record: 48.6; -9.2; 8.9; -8.4 kJ per mole of atoms
Density, record by record: 5.56; 6.64; 5.64; 6.36 g/cm³